# 1
Entry from the Alexandria database: a relaxed structure of Al2CdSi (PBE).

Calculated values
Total DFT energy (no corrections): -12.85 eV/f.u.
E above lowest polymorph: 0.0679 eV/atom
Formation energy (no corrections): 0.244 eV per atom
DOS(E_F): 0.31 states/eV/atom

Cell lengths 2.7789, 5.0057, 10.6622 Å; angles 90.00, 90.00, 90.00 degrees
Fractional coordinates of all 8 atoms:
Al1 0.0000 0.0000 0.0000
Al2 0.0000 0.5000 0.2614
Al3 0.5000 0.0000 0.7614
Al4 0.5000 0.5000 0.5000
Cd1 0.0000 0.5000 0.7808
Cd2 0.5000 0.0000 0.2808
Si1 0.0000 0.0000 0.5471
Si2 0.5000 0.5000 0.0471

=====

# 2
Entry from the Alexandria database: a relaxed structure of Tb12TlRh6 (PBE).

Calculated values
Total DFT energy (no corrections): -113.12 eV/f.u.
DOS(E_F): 0.95 states/eV/atom
Energy of formation from the pure elements: -0.583 eV per atom

Cell lengths 8.5978, 8.5978, 8.5978 Å; angles 109.47, 109.47, 109.47 degrees
Fractional coordinates of all 19 atoms:
Tb1 0.1122 0.8109 0.3012
Tb2 0.1891 0.3012 0.4903
Tb3 0.1891 0.6988 0.8878
Tb4 0.3012 0.1122 0.8109
Tb5 0.3012 0.4903 0.1891
Tb6 0.4903 0.1891 0.3012
Tb7 0.5097 0.8109 0.6988
Tb8 0.6988 0.5097 0.8109
Tb9 0.6988 0.8878 0.1891
Tb10 0.8109 0.3012 0.1122
Tb11 0.8109 0.6988 0.5097
Tb12 0.8878 0.1891 0.6988
Tl1 0.0000 0.0000 0.0000
Rh1 0.1298 0.6298 0.5000
Rh2 0.3702 0.5000 0.8702
Rh3 0.5000 0.1298 0.6298
Rh4 0.5000 0.8702 0.3702
Rh5 0.6298 0.5000 0.1298
Rh6 0.8702 0.3702 0.5000

=====

# 3
Entry from the Alexandria database: a relaxed structure of Pr7Sn2Pd2 (PBE).

Calculated values
Total DFT energy (no corrections): -56.23 eV/f.u.
DOS(E_F): 1.17 states/eV/atom
Energy of formation from the pure elements: -0.399 eV per atom

Cell lengths 7.1854, 7.1854, 7.2184 Å; angles 90.00, 90.00, 107.68 degrees
Fractional coordinates of all 11 atoms:
Pr1 0.0000 0.0000 0.0000
Pr2 0.0000 0.5000 0.2628
Pr3 0.0000 0.5000 0.7372
Pr4 0.5000 0.0000 0.2628
Pr5 0.5000 0.0000 0.7372
Pr6 0.5000 0.5000 0.2439
Pr7 0.5000 0.5000 0.7561
Sn1 0.1733 0.1733 0.5000
Sn2 0.8267 0.8267 0.5000
Pd1 0.2810 0.7190 0.0000
Pd2 0.7190 0.2810 0.0000